This record from Alexandria describes a relaxed structure of CoRuO. The functional is GGA+U.

Geometry as POSCAR:
```
CoRuO
1.0
-1.062 -0.582 2.481
11.042 -1.139 4.460
0.031 4.235 1.006
Co Ru O
4 4 4
Direct
0.000 0.352 0.212 Co
0.000 0.648 0.712 Co
0.500 0.852 0.212 Co
0.500 0.148 0.712 Co
0.000 0.949 0.709 Ru
0.000 0.051 0.209 Ru
0.500 0.449 0.709 Ru
0.500 0.551 0.209 Ru
0.000 0.799 0.513 O
0.000 0.201 0.013 O
0.500 0.299 0.513 O
0.500 0.701 0.013 O
```

- total energy (eV/atom) = -6.567
- ρ (kg/m³) = 8131
- offset from the most stable computed form (eV/atom) = 0.045
- magnetization (μB per formula unit) = 2.38